Li2ThS3: relaxed, PBE. Values from VASP.

The magnetic moment comes out at 0.0 μB per formula unit. Its symmetry is Fddd (70). The value obtained for the formation energy from raw total energies is -1.64 eV per atom. As for the density of states at the Fermi level: 0.0 states/eV/cell.

The structure in Quantum ESPRESSO input format:
```
&SYSTEM
  ibrav = 0, nat = 24, ntyp = 3
/
ATOMIC_SPECIES
Th 232.04 Th.upf
S 32.06 S.upf
Li 6.94 Li.upf
CELL_PARAMETERS angstrom
-3.081 6.047 -0.104
-2.109 -3.902 -5.137
-6.181 -5.425 9.530
ATOMIC_POSITIONS crystal
Th 0.333 0.833 0.666
Th 0.917 0.917 0.834
Th 0.167 0.667 0.334
Th 0.083 0.083 0.166
S 0.416 0.420 0.331
S 0.089 0.085 0.669
S 0.834 0.330 0.169
S 0.747 0.747 0.000
S 0.253 0.253 0.000
S 0.997 0.497 0.500
S 0.335 0.839 0.169
S 0.915 0.911 0.331
S 0.580 0.584 0.669
S 0.161 0.665 0.831
S 0.670 0.166 0.831
S 0.503 0.003 0.500
Li 0.834 0.334 0.667
Li 0.416 0.416 0.833
Li 0.249 0.249 0.499
Li 0.499 0.999 0.999
Li 0.666 0.166 0.333
Li 0.751 0.751 0.501
Li 0.001 0.501 0.001
Li 0.584 0.584 0.167
```

=====

LiTh5S6: relaxed, PBE. Values from VASP.

The magnetic moment comes out at 0.0 μB per formula unit. Its symmetry is C2/m (12). The value obtained for the formation energy from raw total energies is -1.79 eV per atom. As for the density of states at the Fermi level: 6.8 states/eV/cell.

The structure in Quantum ESPRESSO input format:
```
&SYSTEM
  ibrav = 0, nat = 12, ntyp = 3
/
ATOMIC_SPECIES
Th 232.04 Th.upf
S 32.06 S.upf
Li 6.94 Li.upf
CELL_PARAMETERS angstrom
6.849 0.170 1.042
1.685 5.817 3.391
0.115 0.060 6.944
ATOMIC_POSITIONS crystal
Th 0.000 0.334 0.333
Th 0.500 0.171 0.658
Th 0.500 0.500 0.000
Th 0.500 0.829 0.342
Th 0.000 0.666 0.667
S 0.764 0.395 0.683
S 0.236 0.605 0.317
S 0.764 0.078 0.317
S 0.236 0.922 0.683
S 0.755 0.763 0.000
S 0.245 0.237 0.000
Li 0.000 0.000 0.000
```

=====

LiThS3: relaxed, PBE. Values from VASP.

The magnetic moment comes out at 0.0 μB per formula unit. Its symmetry is P2_1/c (14). The value obtained for the formation energy from raw total energies is -1.43 eV per atom. As for the density of states at the Fermi level: 0.0 states/eV/cell.

The structure in Quantum ESPRESSO input format:
```
&SYSTEM
  ibrav = 0, nat = 20, ntyp = 3
/
ATOMIC_SPECIES
Th 232.04 Th.upf
S 32.06 S.upf
Li 6.94 Li.upf
CELL_PARAMETERS angstrom
6.391 0.000 0.000
0.000 8.752 -0.484
0.000 -4.505 9.672
ATOMIC_POSITIONS crystal
Th 0.274 0.901 0.658
Th 0.726 0.099 0.342
Th 0.226 0.401 0.158
Th 0.774 0.599 0.842
S 0.077 0.652 0.418
S 0.530 0.354 0.317
S 0.030 0.146 0.183
S 0.577 0.848 0.082
S 0.970 0.854 0.817
S 0.880 0.410 0.989
S 0.380 0.090 0.511
S 0.620 0.910 0.489
S 0.470 0.646 0.683
S 0.120 0.590 0.011
S 0.423 0.152 0.918
S 0.923 0.348 0.582
Li 0.736 0.062 0.003
Li 0.764 0.562 0.503
Li 0.264 0.938 0.997
Li 0.236 0.438 0.497
```

=====

LiTh4S5: relaxed, PBE. Values from VASP.

The magnetic moment comes out at 0.0 μB per formula unit. Its symmetry is I4 (79). The value obtained for the formation energy from raw total energies is -1.77 eV per atom. As for the density of states at the Fermi level: 5.2 states/eV/cell.

The structure in Quantum ESPRESSO input format:
```
&SYSTEM
  ibrav = 0, nat = 10, ntyp = 3
/
ATOMIC_SPECIES
S 32.06 S.upf
Th 232.04 Th.upf
Li 6.94 Li.upf
CELL_PARAMETERS angstrom
-5.255 -1.632 1.359
-0.677 -6.821 1.008
-1.281 -0.044 6.809
ATOMIC_POSITIONS crystal
S 0.902 0.381 0.816
S 0.500 0.000 0.000
S 0.718 0.184 0.381
S 0.283 0.816 0.619
S 0.099 0.619 0.184
Th 0.196 0.208 0.400
Th 0.596 0.600 0.208
Th 0.805 0.792 0.600
Th 0.405 0.400 0.792
Li 0.007 0.000 0.000
```

=====

LiTh2Tl3S6: relaxed, PBE. Values from VASP.

The magnetic moment comes out at 0.0 μB per formula unit. Its symmetry is C2/m (12). The value obtained for the formation energy from raw total energies is -1.27 eV per atom. As for the density of states at the Fermi level: 0.0 states/eV/cell.

The structure in Quantum ESPRESSO input format:
```
&SYSTEM
  ibrav = 0, nat = 12, ntyp = 4
/
ATOMIC_SPECIES
S 32.06 S.upf
Tl 204.38 Tl.upf
Th 232.04 Th.upf
Li 6.94 Li.upf
CELL_PARAMETERS angstrom
4.182 0.000 0.000
0.000 8.847 -0.265
-2.091 -3.149 9.084
ATOMIC_POSITIONS crystal
S 0.988 0.773 0.976
S 0.321 0.455 0.641
S 0.341 0.892 0.682
S 0.659 0.108 0.318
S 0.679 0.545 0.359
S 0.012 0.227 0.024
Tl 0.500 0.500 0.000
Tl 0.846 0.166 0.692
Tl 0.154 0.834 0.308
Th 0.842 0.685 0.684
Th 0.158 0.315 0.316
Li 0.500 0.000 0.000
```

=====

Li2TmThS4: relaxed, PBE. Values from VASP.

The magnetic moment comes out at 0.0 μB per formula unit. Its symmetry is P2/m (10). The value obtained for the formation energy from raw total energies is -1.73 eV per atom. As for the density of states at the Fermi level: 3.3 states/eV/cell.

The structure in Quantum ESPRESSO input format:
```
&SYSTEM
  ibrav = 0, nat = 8, ntyp = 4
/
ATOMIC_SPECIES
Li 6.94 Li.upf
S 32.06 S.upf
Th 232.04 Th.upf
Tm 168.93 Tm.upf
CELL_PARAMETERS angstrom
3.888 0.000 0.000
0.000 6.799 0.124
0.000 -2.357 6.202
ATOMIC_POSITIONS crystal
Li 0.000 0.500 0.500
Li 0.500 0.000 0.500
S 0.000 0.256 0.747
S 0.000 0.744 0.253
S 0.500 0.734 0.737
S 0.500 0.266 0.263
Th 0.000 0.000 0.000
Tm 0.500 0.500 0.000
```

=====

LiTmTh2S5: relaxed, PBE. Values from VASP.

The magnetic moment comes out at 0.0 μB per formula unit. Its symmetry is Cmc2_1 (36). The value obtained for the formation energy from raw total energies is -1.82 eV per atom. As for the density of states at the Fermi level: 9.4 states/eV/cell.

The structure in Quantum ESPRESSO input format:
```
&SYSTEM
  ibrav = 0, nat = 18, ntyp = 4
/
ATOMIC_SPECIES
Th 232.04 Th.upf
Tm 168.93 Tm.upf
S 32.06 S.upf
Li 6.94 Li.upf
CELL_PARAMETERS angstrom
-2.593 2.846 -0.534
-2.966 -4.094 6.723
6.349 7.123 7.138
ATOMIC_POSITIONS crystal
Th 0.871 0.741 0.800
Th 0.110 0.220 0.682
Th 0.890 0.780 0.182
Th 0.129 0.259 0.300
Tm 0.196 0.393 0.002
Tm 0.804 0.607 0.502
S 0.499 0.997 0.784
S 0.639 0.278 0.499
S 0.045 0.090 0.071
S 0.691 0.382 0.845
S 0.309 0.618 0.345
S 0.289 0.578 0.660
S 0.501 0.003 0.284
S 0.711 0.422 0.160
S 0.955 0.910 0.571
S 0.361 0.722 0.999
Li 0.513 0.025 0.979
Li 0.487 0.975 0.479
```

=====

LiTm2ThS4: relaxed, PBE. Values from VASP.

The magnetic moment comes out at 0.0 μB per formula unit. Its symmetry is P2/m (10). The value obtained for the formation energy from raw total energies is -1.83 eV per atom. As for the density of states at the Fermi level: 4.0 states/eV/cell.

The structure in Quantum ESPRESSO input format:
```
&SYSTEM
  ibrav = 0, nat = 8, ntyp = 4
/
ATOMIC_SPECIES
Li 6.94 Li.upf
S 32.06 S.upf
Tm 168.93 Tm.upf
Th 232.04 Th.upf
CELL_PARAMETERS angstrom
-1.856 3.091 -1.367
0.559 -2.452 -6.302
-5.752 -2.264 2.690
ATOMIC_POSITIONS crystal
Li 0.500 0.500 0.000
S 0.000 0.255 0.744
S 0.500 0.267 0.259
S 0.000 0.745 0.256
S 0.500 0.733 0.741
Tm 0.000 0.500 0.500
Tm 0.500 0.000 0.500
Th 0.000 0.000 0.000
```

=====

LiTm3Th4S8: relaxed, PBE. Values from VASP.

The magnetic moment comes out at 0.0 μB per formula unit. Its symmetry is R-3m (166). The value obtained for the formation energy from raw total energies is -1.84 eV per atom. As for the density of states at the Fermi level: 9.0 states/eV/cell.

The structure in Quantum ESPRESSO input format:
```
&SYSTEM
  ibrav = 0, nat = 16, ntyp = 4
/
ATOMIC_SPECIES
Tm 168.93 Tm.upf
Th 232.04 Th.upf
S 32.06 S.upf
Li 6.94 Li.upf
CELL_PARAMETERS angstrom
-2.042 -7.313 0.954
7.133 -1.532 3.528
-4.339 5.594 2.903
ATOMIC_POSITIONS crystal
Tm 0.500 0.500 0.000
Tm 0.000 0.500 0.500
Tm 0.500 0.500 0.500
Th 0.500 0.000 0.000
Th 0.000 0.000 0.000
Th 0.000 0.000 0.500
Th 0.500 0.000 0.500
S 0.743 0.728 0.486
S 0.747 0.723 0.985
S 0.257 0.272 0.514
S 0.253 0.277 0.015
S 0.762 0.277 0.524
S 0.238 0.723 0.476
S 0.238 0.723 0.985
S 0.762 0.277 0.015
Li 0.000 0.500 0.000
```

=====

LiTmTh2S4: relaxed, PBE. Values from VASP.

The magnetic moment comes out at 0.0 μB per formula unit. Its symmetry is P2/m (10). The value obtained for the formation energy from raw total energies is -1.78 eV per atom. As for the density of states at the Fermi level: 3.8 states/eV/cell.

The structure in Quantum ESPRESSO input format:
```
&SYSTEM
  ibrav = 0, nat = 8, ntyp = 4
/
ATOMIC_SPECIES
S 32.06 S.upf
Th 232.04 Th.upf
Li 6.94 Li.upf
Tm 168.93 Tm.upf
CELL_PARAMETERS angstrom
-1.605 3.413 -0.583
-5.617 -3.167 -3.070
-4.411 -1.268 4.725
ATOMIC_POSITIONS crystal
S 0.500 0.724 0.252
S 0.000 0.276 0.238
S 0.000 0.724 0.762
S 0.500 0.276 0.748
Th 0.500 0.000 0.500
Th 0.000 0.000 0.000
Li 0.500 0.500 0.000
Tm 0.000 0.500 0.500
```

=====

Li3Tm2ThS6: relaxed, PBE. Values from VASP.

The magnetic moment comes out at 0.0 μB per formula unit. Its symmetry is C2/m (12). The value obtained for the formation energy from raw total energies is -1.77 eV per atom. As for the density of states at the Fermi level: 3.8 states/eV/cell.

The structure in Quantum ESPRESSO input format:
```
&SYSTEM
  ibrav = 0, nat = 12, ntyp = 4
/
ATOMIC_SPECIES
Th 232.04 Th.upf
Tm 168.93 Tm.upf
S 32.06 S.upf
Li 6.94 Li.upf
CELL_PARAMETERS angstrom
-5.422 -3.984 0.478
4.756 -0.180 4.780
-2.763 5.822 1.388
ATOMIC_POSITIONS crystal
Th 0.000 0.000 0.000
Tm 0.334 0.666 0.000
Tm 0.666 0.334 0.000
S 0.084 0.426 0.254
S 0.426 0.084 0.254
S 0.916 0.574 0.746
S 0.574 0.916 0.746
S 0.743 0.743 0.256
S 0.257 0.257 0.744
Li 0.500 0.500 0.500
Li 0.170 0.830 0.500
Li 0.830 0.170 0.500
```

=====

Li4Tm3ThS8: relaxed, PBE. Values from VASP.

The magnetic moment comes out at 0.0 μB per formula unit. Its symmetry is R-3m (166). The value obtained for the formation energy from raw total energies is -1.79 eV per atom. As for the density of states at the Fermi level: 3.2 states/eV/cell.

The structure in Quantum ESPRESSO input format:
```
&SYSTEM
  ibrav = 0, nat = 16, ntyp = 4
/
ATOMIC_SPECIES
S 32.06 S.upf
Tm 168.93 Tm.upf
Li 6.94 Li.upf
Th 232.04 Th.upf
CELL_PARAMETERS angstrom
-2.499 1.937 7.099
-3.200 -6.899 0.756
7.530 0.690 -1.791
ATOMIC_POSITIONS crystal
S 0.744 0.755 0.000
S 0.256 0.245 0.000
S 0.256 0.755 0.000
S 0.744 0.245 0.489
S 0.749 0.748 0.499
S 0.256 0.755 0.511
S 0.251 0.252 0.501
S 0.744 0.245 0.000
Tm 0.000 0.500 0.500
Tm 0.500 0.500 0.000
Tm 0.500 0.500 0.500
Li 0.500 0.000 0.500
Li 0.500 0.000 0.000
Li 0.000 0.000 0.500
Li 0.000 0.000 0.000
Th 0.000 0.500 0.000
```